(1)
A geometry-optimized TbCe2ScBi4 structure. Source: the Alexandria database, functional PBE-GGA.

a = 4.498 Å, b = 7.769 Å, c = 7.791 Å
α = 70.46°, β = 90.00°, γ = 90.00°
Sites, in units of the cell vectors:
1 Tb 0.500 0.500 0.000
2 Ce 0.000 0.000 0.000
3 Ce 0.500 0.000 0.500
4 Sc 0.000 0.500 0.500
5 Bi 0.000 0.739 0.746
6 Bi 0.000 0.261 0.254
7 Bi 0.500 0.734 0.263
8 Bi 0.500 0.266 0.737

Values from the calculation:
Its symmetry is No. 10.



(2)
A geometry-optimized Ce2ThScBi4 structure. Source: the Alexandria database, functional PBE-GGA.

a = 4.531 Å, b = 7.893 Å, c = 7.803 Å
α = 70.56°, β = 90.00°, γ = 90.00°
Sites, in units of the cell vectors:
1 Ce 0.000 0.000 0.000
2 Ce 0.500 0.000 0.500
3 Th 0.500 0.500 0.000
4 Sc 0.000 0.500 0.500
5 Bi 0.000 0.744 0.740
6 Bi 0.000 0.256 0.260
7 Bi 0.500 0.736 0.266
8 Bi 0.500 0.264 0.734

Values from the calculation:
Its symmetry is No. 10.



(3)
A geometry-optimized Ce2ThScBi5 structure. Source: the Alexandria database, functional PBE-GGA.

a = 5.808 Å, b = 5.808 Å, c = 11.547 Å
α = 90.00°, β = 90.00°, γ = 90.00°
Sites, in units of the cell vectors:
1 Ce 0.500 0.500 0.294
2 Ce 0.500 0.500 0.706
3 Th 0.000 0.000 0.500
4 Sc 0.000 0.000 0.000
5 Bi 0.000 0.500 0.500
6 Bi 0.500 0.000 0.500
7 Bi 0.000 0.000 0.764
8 Bi 0.000 0.000 0.236
9 Bi 0.500 0.500 0.000

Values from the calculation:
Its symmetry is No. 123.



(4)
A geometry-optimized CeScTlBi structure. Source: the Alexandria database, functional PBE-GGA.

a = 5.373 Å, b = 5.373 Å, c = 5.373 Å
α = 60.00°, β = 60.00°, γ = 60.00°
Sites, in units of the cell vectors:
1 Sc 0.000 0.000 0.000
2 Tl 0.250 0.250 0.250
3 Bi 0.750 0.750 0.750
4 Ce 0.500 0.500 0.500

Values from the calculation:
Its symmetry is No. 216.



| no. | calculated volume (A^3/atom) | E_form (eV per atom) | E (eV per atom) |
| --- | --- | --- | --- |
| 1 | 32.07 | -0.770 | -5.564 |
| 2 | 32.90 | -0.695 | -5.838 |
| 3 | 43.27 | 0.107 | -4.896 |
| 4 | 27.42 | -0.336 | -4.964 |